GGA-PBE NbHgO2, optimized geometry; final energy = -6.6655 eV per atom; ΔE_f (raw) = -1.59 eV per atom; volume = 62 Å³/f.u.; density = 8.66 g cm⁻³
1.0
2.110 -6.474 4.465
3.812 -6.906 2.020
4.766 -5.081 4.215
Nb Hg O
1 1 2
direct
0.500 0.500 0.500
0.000 0.000 0.000
0.883 0.883 0.883
0.117 0.117 0.117